Entry 1:
Below is TaTl2P after structural relaxation, with properties calculated at the PBEsol level.

Cell lengths 3.230, 4.779, 5.226 Å; angles 90.00, 90.00, 90.00 degrees
Space group Pmmm (No. 47)
Unique sites:
1 Ta 0.000 0.000 0.000 (multiplicity 1)
2 Tl 0.000 0.500 0.500 (multiplicity 1)
3 Tl 0.500 0.000 0.500 (multiplicity 1)
4 P 0.500 0.500 0.000 (multiplicity 1)

Energy above the lowest structure with this stoichiometry, meV/atom: 393

---

Entry 2:
Below is TaTl2P after structural relaxation, with properties calculated at the PBEsol level.

Cell lengths 3.238, 4.955, 10.522 Å; angles 90.00, 90.00, 90.00 degrees
Space group Imm2 (No. 44)
Unique sites:
1 Ta 0.000 0.000 0.000 (multiplicity 2)
2 Tl 0.000 0.000 0.556 (multiplicity 2)
3 Tl 0.000 0.500 0.769 (multiplicity 2)
4 P 0.000 0.500 0.330 (multiplicity 2)

Energy above the lowest structure with this stoichiometry, meV/atom: 0

---

Entry 3:
Below is Ta3TlP after structural relaxation, with properties calculated at the PBEsol level.

Cell lengths 4.597, 4.597, 4.597 Å; angles 90.00, 90.00, 90.00 degrees
Space group Pm-3m (No. 221)
Unique sites:
1 Ta 0.000 0.000 0.500 (multiplicity 3)
2 Tl 0.500 0.500 0.500 (multiplicity 1)
3 P 0.000 0.000 0.000 (multiplicity 1)

---

Entry 4:
Below is TaTl2P after structural relaxation, with properties calculated at the PBEsol level.

Cell lengths 3.442, 4.715, 9.652 Å; angles 90.00, 90.00, 90.00 degrees
Space group Immm (No. 71)
Unique sites:
1 Ta 0.000 0.000 0.000 (multiplicity 2)
2 Tl 0.000 0.500 0.233 (multiplicity 4)
3 P 0.000 0.000 0.500 (multiplicity 2)

Energy above the lowest structure with this stoichiometry, meV/atom: 369

---

What are the spin magnetization values for these records? In order: 0.00 0.00 0.00 0.00 Bohr magnetons per cell.
What are the calculated total energy values for these records? In order: -0.3874 -0.4163 -0.6421 -0.3892 Ry per atom.